## w
Here is a relaxed ReSiP crystal from Alexandria via LeMat-Bulk. Energies are from PBE.

Properties
total magnetization = 0.000 μB per atom
mass density = 9.804 g/cm3
V = 41.5 Å³/f.u.

a = 6.844 Å, b = 6.844 Å, c = 3.072 Å
α = 90.00°, β = 90.00°, γ = 120.00°
Positions (direct):
Re 0.000 0.000 0.000
Re 0.333 0.667 0.500
Re 0.667 0.333 0.500
Si 0.000 0.622 0.000
Si 0.378 0.378 0.000
Si 0.622 0.000 0.000
P 0.000 0.282 0.500
P 0.282 0.000 0.500
P 0.718 0.718 0.500



## x
Here is a relaxed ReSiP crystal from Alexandria via LeMat-Bulk. Energies are from PBE.

Properties
total magnetization = 0.000 μB per atom
mass density = 9.467 g/cm3
V = 43.0 Å³/f.u.

a = 4.085 Å, b = 4.085 Å, c = 2.977 Å
α = 90.00°, β = 90.00°, γ = 120.00°
Positions (direct):
Re 0.000 0.000 0.000
Si 0.667 0.333 0.500
P 0.333 0.667 0.000



## y
Here is a relaxed ReSiP crystal from Alexandria via LeMat-Bulk. Energies are from PBE.

Properties
total magnetization = 0.000 μB per atom
mass density = 8.991 g/cm3
V = 45.3 Å³/f.u.

a = 5.518 Å, b = 5.518 Å, c = 5.518 Å
α = 148.66°, β = 148.66°, γ = 44.91°
Positions (direct):
Re 0.000 0.000 0.000
Si 0.652 0.652 0.000
P 0.371 0.371 0.000



## z
Here is a relaxed ReSiP crystal from Alexandria via LeMat-Bulk. Energies are from PBE.

Properties
total magnetization = 0.000 μB per atom
mass density = 9.134 g/cm3
V = 44.6 Å³/f.u.

a = 3.980 Å, b = 3.980 Å, c = 3.980 Å
α = 60.00°, β = 60.00°, γ = 60.00°
Positions (direct):
Re 0.000 0.000 0.000
Si 0.500 0.500 0.500
P 0.250 0.250 0.250



Q: Which of them is the most stable? A: w.



## w
Here is a relaxed ReSiP crystal from Alexandria via LeMat-Bulk. Energies are from PBE.

Properties
total magnetization = 0.000 μB per atom
mass density = 8.485 g/cm3
V = 48.0 Å³/f.u.

a = 4.079 Å, b = 4.079 Å, c = 4.079 Å
α = 60.00°, β = 60.00°, γ = 60.00°
Positions (direct):
Re 0.000 0.000 0.000
Si 0.250 0.250 0.250
P 0.750 0.750 0.750



## x
Here is a relaxed ReSiP crystal from Alexandria via LeMat-Bulk. Energies are from PBE.

Properties
total magnetization = 0.000 μB per atom
mass density = 8.737 g/cm3
V = 46.6 Å³/f.u.

a = 5.392 Å, b = 6.208 Å, c = 6.081 Å
α = 90.00°, β = 113.65°, γ = 90.00°
Positions (direct):
Re 0.238 0.036 0.026
Re 0.238 0.464 0.526
Re 0.762 0.536 0.474
Re 0.762 0.964 0.974
Si 0.152 0.666 0.866
Si 0.152 0.834 0.366
Si 0.848 0.166 0.634
Si 0.848 0.334 0.134
P 0.340 0.092 0.674
P 0.340 0.408 0.174
P 0.660 0.592 0.826
P 0.660 0.908 0.326



## y
Here is a relaxed ReSiP crystal from Alexandria via LeMat-Bulk. Energies are from PBE.

Properties
total magnetization = 0.000 μB per atom
mass density = 9.073 g/cm3
V = 44.9 Å³/f.u.

a = 3.132 Å, b = 6.691 Å, c = 6.691 Å
α = 106.18°, β = 90.00°, γ = 90.00°
Positions (direct):
Re 0.000 0.000 0.000
Re 0.000 0.288 0.557
Re 0.000 0.557 0.288
Si 0.000 0.571 0.887
Si 0.000 0.887 0.571
Si 0.500 0.242 0.242
P 0.500 0.110 0.752
P 0.500 0.576 0.576
P 0.500 0.752 0.110



## z
Here is a relaxed ReSiP crystal from Alexandria via LeMat-Bulk. Energies are from PBE.

Properties
total magnetization = 0.000 μB per atom
mass density = 9.428 g/cm3
V = 43.2 Å³/f.u.

a = 6.861 Å, b = 6.861 Å, c = 3.179 Å
α = 90.00°, β = 90.00°, γ = 120.00°
Positions (direct):
Re 0.000 0.731 0.000
Re 0.269 0.269 0.000
Re 0.731 0.000 0.000
Si 0.000 0.000 0.500
Si 0.333 0.667 0.000
Si 0.667 0.333 0.000
P 0.000 0.356 0.500
P 0.356 0.000 0.500
P 0.644 0.644 0.500



Q: Which of them is the most stable? A: x.



## w
Here is a relaxed Re2SnP crystal from Alexandria via LeMat-Bulk. Energies are from PBE.

Properties
total magnetization = 0.000 μB per atom
mass density = 14.047 g/cm3
V = 61.7 Å³/f.u.

a = 4.436 Å, b = 4.436 Å, c = 4.436 Å
α = 60.00°, β = 60.00°, γ = 60.00°
Positions (direct):
Re 0.250 0.250 0.250
Re 0.750 0.750 0.750
Sn 0.000 0.000 0.000
P 0.500 0.500 0.500



## x
Here is a relaxed Re2SnP crystal from Alexandria via LeMat-Bulk. Energies are from PBE.

Properties
total magnetization = 0.000 μB per atom
mass density = 11.567 g/cm3
V = 75.0 Å³/f.u.

a = 9.029 Å, b = 9.029 Å, c = 9.029 Å
α = 153.15°, β = 153.15°, γ = 38.34°
Positions (direct):
Re 0.036 0.625 0.911
Re 0.375 0.286 0.411
Re 0.714 0.125 0.089
Re 0.875 0.964 0.589
Sn 0.250 0.750 0.500
Sn 0.500 0.500 0.000
P 0.000 0.000 0.000
P 0.750 0.250 0.500



Q: Which of them is the most stable? A: w.



## w
Here is a relaxed Re3SnP crystal from Alexandria via LeMat-Bulk. Energies are from PBE.

Properties
total magnetization = 0.589 μB per atom
mass density = 10.216 g/cm3
V = 115.1 Å³/f.u.

a = 4.865 Å, b = 4.865 Å, c = 4.865 Å
α = 90.00°, β = 90.00°, γ = 90.00°
Positions (direct):
Re 0.000 0.000 0.500
Re 0.000 0.500 0.000
Re 0.500 0.000 0.000
Sn 0.000 0.000 0.000
P 0.500 0.500 0.500



## x
Here is a relaxed Re3SnP crystal from Alexandria via LeMat-Bulk. Energies are from PBE.

Properties
total magnetization = 0.000 μB per atom
mass density = 13.564 g/cm3
V = 86.7 Å³/f.u.

a = 4.426 Å, b = 4.426 Å, c = 4.426 Å
α = 90.00°, β = 90.00°, γ = 90.00°
Positions (direct):
Re 0.000 0.000 0.500
Re 0.000 0.500 0.000
Re 0.500 0.000 0.000
Sn 0.500 0.500 0.500
P 0.000 0.000 0.000



Q: Which of them is the most stable? A: x.



## w
Here is a relaxed ReSnP3 crystal from Alexandria via LeMat-Bulk. Energies are from PBE.

Properties
total magnetization = 0.013 μB per atom
mass density = 5.892 g/cm3
V = 112.1 Å³/f.u.

a = 4.822 Å, b = 4.822 Å, c = 4.822 Å
α = 90.00°, β = 90.00°, γ = 90.00°
Positions (direct):
Re 0.000 0.000 0.000
Sn 0.500 0.500 0.500
P 0.000 0.500 0.500
P 0.500 0.000 0.500
P 0.500 0.500 0.000



## x
Here is a relaxed ReSnP3 crystal from Alexandria via LeMat-Bulk. Energies are from PBE.

Properties
total magnetization = 0.000 μB per atom
mass density = 6.384 g/cm3
V = 103.5 Å³/f.u.

a = 4.695 Å, b = 4.695 Å, c = 4.695 Å
α = 90.00°, β = 90.00°, γ = 90.00°
Positions (direct):
Re 0.000 0.000 0.000
Sn 0.500 0.500 0.500
P 0.000 0.000 0.500
P 0.000 0.500 0.000
P 0.500 0.000 0.000



Q: Which of them is the most stable? A: x.



## w
Here is a relaxed SrReP crystal from Alexandria via LeMat-Bulk. Energies are from PBE.

Properties
total magnetization = 0.133 μB per atom
mass density = 7.889 g/cm3
V = 64.2 Å³/f.u.

a = 4.494 Å, b = 4.494 Å, c = 4.494 Å
α = 60.00°, β = 60.00°, γ = 60.00°
Positions (direct):
Sr 0.000 0.000 0.000
Re 0.500 0.500 0.500
P 0.750 0.750 0.750



## x
Here is a relaxed SrReP crystal from Alexandria via LeMat-Bulk. Energies are from PBE.

Properties
total magnetization = 0.000 μB per atom
mass density = 8.589 g/cm3
V = 58.9 Å³/f.u.

a = 6.107 Å, b = 6.107 Å, c = 6.107 Å
α = 149.38°, β = 149.38°, γ = 43.85°
Positions (direct):
Sr 0.000 0.000 0.000
Re 0.289 0.289 0.000
P 0.708 0.708 0.000



## y
Here is a relaxed SrReP crystal from Alexandria via LeMat-Bulk. Energies are from PBE.

Properties
total magnetization = 1.362 μB per atom
mass density = 5.935 g/cm3
V = 85.3 Å³/f.u.

a = 4.941 Å, b = 4.941 Å, c = 4.941 Å
α = 60.00°, β = 60.00°, γ = 60.00°
Positions (direct):
Sr 0.000 0.000 0.000
Re 0.250 0.250 0.250
P 0.750 0.750 0.750



## z
Here is a relaxed SrReP crystal from Alexandria via LeMat-Bulk. Energies are from PBE.

Properties
total magnetization = 0.000 μB per atom
mass density = 7.380 g/cm3
V = 68.6 Å³/f.u.

a = 4.004 Å, b = 4.004 Å, c = 4.939 Å
α = 90.00°, β = 90.00°, γ = 120.00°
Positions (direct):
Sr 0.000 0.000 0.000
Re 0.333 0.667 0.500
P 0.667 0.333 0.500



Q: Which of them is the most stable? A: z.



## w
Here is a relaxed SrReP2 crystal from Alexandria via LeMat-Bulk. Energies are from PBE.

Properties
total magnetization = 0.000 μB per atom
mass density = 6.742 g/cm3
V = 82.7 Å³/f.u.

a = 6.624 Å, b = 6.624 Å, c = 6.624 Å
α = 34.40°, β = 34.40°, γ = 34.40°
Positions (direct):
Sr 0.000 0.000 0.000
Re 0.815 0.815 0.815
P 0.221 0.221 0.221
P 0.450 0.450 0.450



## x
Here is a relaxed SrReP2 crystal from Alexandria via LeMat-Bulk. Energies are from PBE.

Properties
total magnetization = 0.000 μB per atom
mass density = 7.545 g/cm3
V = 73.9 Å³/f.u.

a = 3.248 Å, b = 3.248 Å, c = 7.004 Å
α = 90.00°, β = 90.00°, γ = 90.00°
Positions (direct):
Sr 0.000 0.000 0.000
Re 0.500 0.500 0.636
P 0.000 0.000 0.509
P 0.500 0.500 0.295



## y
Here is a relaxed SrReP2 crystal from Alexandria via LeMat-Bulk. Energies are from PBE.

Properties
total magnetization = 0.000 μB per atom
mass density = 6.817 g/cm3
V = 81.8 Å³/f.u.

a = 3.490 Å, b = 4.096 Å, c = 5.722 Å
α = 90.00°, β = 90.00°, γ = 90.00°
Positions (direct):
Sr 0.000 0.000 0.000
Re 0.500 0.000 0.500
P 0.500 0.500 0.292
P 0.500 0.500 0.708



## z
Here is a relaxed SrReP2 crystal from Alexandria via LeMat-Bulk. Energies are from PBE.

Properties
total magnetization = 0.000 μB per atom
mass density = 8.076 g/cm3
V = 69.0 Å³/f.u.

a = 4.605 Å, b = 4.605 Å, c = 4.605 Å
α = 60.00°, β = 60.00°, γ = 60.00°
Positions (direct):
Sr 0.000 0.000 0.000
Re 0.500 0.500 0.500
P 0.250 0.250 0.250
P 0.750 0.750 0.750



Q: Which of them is the most stable? A: w.



## w
Here is a relaxed SrReP2 crystal from Alexandria via LeMat-Bulk. Energies are from PBE.

Properties
total magnetization = 0.093 μB per atom
mass density = 7.714 g/cm3
V = 72.3 Å³/f.u.

a = 4.676 Å, b = 4.676 Å, c = 4.676 Å
α = 60.00°, β = 60.00°, γ = 60.00°
Positions (direct):
Sr 0.000 0.000 0.000
Re 0.250 0.250 0.250
P 0.500 0.500 0.500
P 0.750 0.750 0.750



## x
Here is a relaxed SrReP2 crystal from Alexandria via LeMat-Bulk. Energies are from PBE.

Properties
total magnetization = 0.000 μB per atom
mass density = 7.523 g/cm3
V = 74.1 Å³/f.u.

a = 8.680 Å, b = 8.680 Å, c = 8.680 Å
α = 21.08°, β = 21.08°, γ = 21.08°
Positions (direct):
Sr 0.000 0.000 0.000
Re 0.772 0.772 0.772
P 0.235 0.235 0.235
P 0.500 0.500 0.500



Q: Which of them is the most stable? A: x.



## w
Here is a relaxed TaReP2 crystal from Alexandria via LeMat-Bulk. Energies are from PBE.

Properties
total magnetization = 0.000 μB per atom
mass density = 12.382 g/cm3
V = 57.5 Å³/f.u.

a = 4.545 Å, b = 4.545 Å, c = 4.468 Å
α = 104.64°, β = 104.64°, γ = 40.36°
Positions (direct):
Ta 0.000 0.000 0.000
Re 0.769 0.769 0.388
P 0.259 0.259 0.843
P 0.501 0.501 0.511



## x
Here is a relaxed TaReP2 crystal from Alexandria via LeMat-Bulk. Energies are from PBE.

Properties
total magnetization = 0.000 μB per atom
mass density = 12.374 g/cm3
V = 57.6 Å³/f.u.

a = 3.172 Å, b = 3.172 Å, c = 5.723 Å
α = 90.00°, β = 90.00°, γ = 90.00°
Positions (direct):
Ta 0.000 0.000 0.000
Re 0.500 0.500 0.645
P 0.000 0.000 0.465
P 0.500 0.500 0.194



## y
Here is a relaxed TaReP2 crystal from Alexandria via LeMat-Bulk. Energies are from PBE.

Properties
total magnetization = 0.000 μB per atom
mass density = 9.886 g/cm3
V = 72.1 Å³/f.u.

a = 2.852 Å, b = 2.852 Å, c = 9.399 Å
α = 90.00°, β = 90.00°, γ = 109.44°
Positions (direct):
Ta 0.000 0.000 0.000
Re 0.500 0.500 0.241
P 0.000 0.000 0.422
P 0.500 0.500 0.799



## z
Here is a relaxed TaReP2 crystal from Alexandria via LeMat-Bulk. Energies are from PBE.

Properties
total magnetization = 0.000 μB per atom
mass density = 11.884 g/cm3
V = 60.0 Å³/f.u.

a = 6.104 Å, b = 6.104 Å, c = 6.104 Å
α = 149.06°, β = 149.05°, γ = 44.33°
Positions (direct):
Ta 0.000 0.000 0.000
Re 0.751 0.251 0.500
P 0.330 0.830 0.500
P 0.586 0.586 0.000



Q: Which of them is the most stable? A: z.